The following is a DFT calculation (GGA-PBE) of an optimized crystal structure of La7TbEr2.

extended XYZ file:
```
10
Lattice="-2.786 3.029 4.111 2.213 -6.504 6.291 5.462 7.349 -1.713" Properties=species:S:1:pos:R:3 pbc="T T T"
La 2.971 -3.269 4.422
La 4.703 4.115 0.156
La 0.372 3.252 1.971
La 4.516 0.621 6.718
La -0.371 0.083 3.803
La 5.259 3.791 4.887
La 2.444 1.937 4.345
Tb 0.000 0.000 0.000
Er 1.777 -0.906 5.987
Er 3.111 4.780 2.702
```

Output
energy above the most stable polymorph in this dataset	0.269	eV/atom
space-group type	Cmmm, No. 65
crystal system	orthorhombic
M_tot	0.00	Bohr magnetons per cell